(1)
Computed, not measured: crystalline TaGa3Co at its relaxed geometry at the GGA-PBEsol level of DFT.

Geometry as POSCAR:
```
TaGa3Co
1.0
-2.102 3.805 0.086
-3.668 -2.052 1.114
1.015 0.466 4.202
Ga Co Ta
3 1 1
direct
0.000 0.500 0.000
0.500 0.000 0.000
0.000 0.000 0.500
0.000 0.000 0.000
0.500 0.500 0.500
```

## Properties
- uncorrected energy (eV for the cell shown) = -27.8
- size of the total moment (μB per cell) = 0.057
- DOS(E_F) (states/eV/f.u.) = 5.65
- space group = No. 221

(2)
Computed, not measured: crystalline Co2NiS4 at its relaxed geometry at the GGA-PBEsol level of DFT.

Geometry as POSCAR:
```
Co2NiS4
1.0
-2.295 5.615 2.330
-6.412 0.984 0.373
-2.931 0.157 5.797
S Co Ni
8 4 2
direct
0.402 0.866 0.866
0.384 0.848 0.384
0.384 0.384 0.384
0.384 0.384 0.848
0.866 0.866 0.402
0.848 0.384 0.384
0.866 0.866 0.866
0.866 0.402 0.866
0.625 0.125 0.625
0.625 0.625 0.625
0.125 0.625 0.625
0.625 0.625 0.125
0.000 0.000 0.000
0.250 0.250 0.250
```

## Properties
- uncorrected energy (eV for the cell shown) = -86.4
- size of the total moment (μB per cell) = 0.000
- formation energy without anion corrections (meV per atom) = -576.0
- DOS(E_F) (states/eV/f.u.) = 2.89
- space group = No. 227

> Among the records above, which one has the highest size of the total moment?

TaGa3Co

> What is the formula in the second record?

Co2NiS4

> Look up the uncorrected energy of the second one.

-86.4 eV for the cell shown

> Which of these has the lowest size of the total moment?

Co2NiS4